Entry 1:
## SmNpMo (PBE)

Data for an optimized crystal structure of SmNpMo.

Structure (POSCAR):
```
SmNpMo
1.0
0.000 3.361 3.361
3.361 0.000 3.361
3.361 3.361 0.000
Sm Np Mo
1 1 1
Cartesian
5.041 5.041 5.041
1.680 1.680 1.680
0.000 0.000 0.000
```



Entry 2:
## NpSnMo (PBE)

Data for an optimized crystal structure of NpSnMo.

Structure (POSCAR):
```
NpSnMo
1.0
2.860 -0.913 3.618
-1.568 0.453 4.409
-0.705 -3.820 2.648
Np Sn Mo
1 1 1
Cartesian
0.000 0.000 0.000
0.147 -1.070 2.669
0.293 -2.140 5.337
```



Entry 3:
## NpTaMo (PBE)

Data for an optimized crystal structure of NpTaMo.

Structure (POSCAR):
```
NpTaMo
1.0
3.808 -1.171 1.921
0.710 0.948 4.262
0.054 -3.243 3.008
Np Ta Mo
1 1 1
Cartesian
0.000 0.000 0.000
3.429 -2.599 6.893
1.143 -0.866 2.298
```



Entry 4:
## NpTaMo (PBE)

Data for an optimized crystal structure of NpTaMo.

Structure (POSCAR):
```
NpTaMo
1.0
-2.072 -3.737 -1.320
-3.085 -1.893 2.626
-4.315 0.129 -1.168
Np Ta Mo
1 1 1
Cartesian
-2.368 -1.375 0.034
-7.104 -4.126 0.103
0.000 0.000 0.000
```



Entry 5:
## NpTcMo (PBE)

Data for an optimized crystal structure of NpTcMo.

Structure (POSCAR):
```
NpTcMo
1.0
-2.879 0.425 3.238
0.152 3.486 2.603
-3.114 3.033 -0.240
Np Tc Mo
1 1 1
Cartesian
-1.460 1.736 1.400
-4.381 5.208 4.201
0.000 0.000 0.000
```



Entry 6:
## NpTcMo (PBE)

Data for an optimized crystal structure of NpTcMo.

Structure (POSCAR):
```
NpTcMo
1.0
0.221 0.359 4.327
-1.214 3.697 1.939
-3.649 0.121 2.360
Tc Np Mo
1 1 1
Cartesian
-3.482 3.133 6.470
0.000 0.000 0.000
-1.161 1.044 2.157
```



Entry 7:
## NpTeMo (PBE)

Data for an optimized crystal structure of NpTeMo.

Structure (POSCAR):
```
NpTeMo
1.0
-0.422 -4.369 -1.757
0.459 -3.747 2.846
-3.780 -2.627 1.078
Te Mo Np
1 1 1
Cartesian
-2.808 -8.057 1.625
-0.936 -2.686 0.542
0.000 0.000 0.000
```



Entry 8:
## NpTeMo (PBE)

Data for an optimized crystal structure of NpTeMo.

Structure (POSCAR):
```
NpTeMo
1.0
0.000 3.294 3.294
3.294 0.000 3.294
3.294 3.294 0.000
Te Mo Np
1 1 1
Cartesian
0.000 0.000 0.000
1.647 1.647 1.647
4.941 4.941 4.941
```



Entry 9:
## NpTlMo (PBE)

Data for an optimized crystal structure of NpTlMo.

Structure (POSCAR):
```
NpTlMo
1.0
-1.965 1.322 4.021
-4.603 -0.460 0.610
-1.653 -3.211 2.955
Mo Np Tl
1 1 1
Cartesian
0.000 0.000 0.000
-2.055 -0.587 1.896
-6.166 -1.762 5.689
```



Entry 10:
## NpTlMo (PBE)

Data for an optimized crystal structure of NpTlMo.

Structure (POSCAR):
```
NpTlMo
1.0
0.000 3.344 3.344
3.344 0.000 3.344
3.344 3.344 0.000
Np Mo Tl
1 1 1
Cartesian
1.672 1.672 1.672
3.344 3.344 3.344
0.000 0.000 0.000
```



Entry 11:
## NpUMo (PBE)

Data for an optimized crystal structure of NpUMo.

Structure (POSCAR):
```
NpUMo
1.0
0.000 3.114 3.114
3.114 0.000 3.114
3.114 3.114 0.000
U Np Mo
1 1 1
Cartesian
0.000 0.000 0.000
4.671 4.671 4.671
1.557 1.557 1.557
```



Entry 12:
## YNpMo (PBE)

Data for an optimized crystal structure of YNpMo.

Structure (POSCAR):
```
YNpMo
1.0
2.909 -2.401 -2.852
2.851 -3.323 1.786
-0.824 -4.565 -0.918
Np Y Mo
1 1 1
Cartesian
1.234 -2.572 -0.496
3.703 -7.716 -1.488
0.000 0.000 0.000
```



| no. | total moment (μB/cell) | calculated total energy (eV per atom) | V (A^3/atom) |
| --- | --- | --- | --- |
| 1 | 3.43 | -8.609 | 25.3 |
| 2 | 3.40 | -8.329 | 24.5 |
| 3 | 0.05 | -10.573 | 20.4 |
| 4 | 3.46 | -11.095 | 21.1 |
| 5 | 2.85 | -10.654 | 19.4 |
| 6 | 1.72 | -10.425 | 19.4 |
| 7 | 2.19 | -7.937 | 24.9 |
| 8 | 2.58 | -8.184 | 23.8 |
| 9 | 2.87 | -7.748 | 23.9 |
| 10 | 2.14 | -7.209 | 24.9 |
| 11 | 1.19 | -11.060 | 20.1 |
| 12 | 3.17 | -9.222 | 24.9 |